This record from Alexandria describes an optimized crystal structure of Ca3La. The functional is GGA-PBEsol.

Results
Magnetic moment = 0.00 μB per formula unit
DFT formation energy = 75.7 meV per atom
Distance to the lowest polymorph of the same formula = 0.0287 eV per atom
E = -45.77 eV per cell

Unit cell a=6.504 b=12.405 c=7.666 alpha=90.00 beta=90.00 gamma=90.00
Space group Pnma (No. 62)
Asymmetric unit:
1 Ca 0.088 0.250 0.126 (multiplicity 4)
2 Ca 0.249 0.000 0.381 (multiplicity 8)
3 La 0.081 0.250 0.647 (multiplicity 4)